LiEuHoCd PBE relaxed; E = -4.520 eV per atom
1.0
0.000 3.815 3.815
3.815 0.000 3.815
3.815 3.815 0.000
Li Eu Ho Cd
1 1 1 1
direct
0.000 0.000 0.000
0.250 0.250 0.250
0.750 0.750 0.750
0.500 0.500 0.500

---

Hg2OsPb PBE relaxed; E = -3.144 eV per atom
1.0
1.549 0.894 10.534
-1.549 0.894 10.534
0.000 -1.789 10.534
Hg Os Pb
2 1 1
direct
0.239 0.239 0.239
0.761 0.761 0.761
0.500 0.500 0.500
0.000 0.000 0.000

---

PuHPb PBE relaxed; relative energy among the computed polymorphs = 31 meV per atom
1.0
3.693 0.000 0.000
-1.846 3.198 0.000
0.000 0.000 5.276
Pu H Pb
1 1 1
direct
0.000 0.000 0.000
0.667 0.333 0.004
0.333 0.667 0.500

---

LaCoTe2 PBE relaxed; formation energy (no corrections) = -0.61 eV per atom
1.0
2.192 1.266 7.111
-2.192 1.266 7.111
0.000 -2.531 7.111
La Co Te
1 1 2
direct
0.000 0.000 0.000
0.221 0.221 0.221
0.563 0.563 0.563
0.756 0.756 0.756